Record 1
8
Lattice="6.187 0.000 0.000 0.000 8.487 0.000 0.000 0.000 3.039" Properties=species:S:1:pos:R:3 comment="MgZr2Al (SCAN, PBEsol geometry)" formation_enthalpy_0k_ev_per_atom=-0.20 magnetic_moment_mub_per_fu=0.07 spacegroup="Cmmm, No. 65" n_ef_per_ev_fu=2.9 pbc="T T T"
Mg 0.000 0.000 0.000
Mg 3.093 4.244 0.000
Zr 1.547 2.122 1.519
Zr 1.547 6.365 1.519
Zr 4.640 2.122 1.519
Zr 4.640 6.365 1.519
Al 0.000 4.244 0.000
Al 3.093 0.000 0.000

Record 2
4
Lattice="2.990 0.000 0.000 0.000 2.990 0.000 0.000 0.000 9.080" Properties=species:S:1:pos:R:3 comment="MgZr2Al (SCAN, PBEsol geometry)" formation_enthalpy_0k_ev_per_atom=-0.24 magnetic_moment_mub_per_fu=0.01 spacegroup="P4/mmm, No. 123" n_ef_per_ev_fu=2.6 pbc="T T T"
Mg 0.000 0.000 0.000
Zr 1.495 1.495 2.530
Zr 1.495 1.495 6.549
Al 0.000 0.000 4.540

Record 3
8
Lattice="4.345 0.000 0.000 0.000 4.345 0.000 0.000 0.000 8.432" Properties=species:S:1:pos:R:3 comment="MgZr2Al (SCAN, PBEsol geometry)" formation_enthalpy_0k_ev_per_atom=-0.20 magnetic_moment_mub_per_fu=0.05 spacegroup="I4/mmm, No. 139" n_ef_per_ev_fu=3.4 pbc="T T T"
Mg 0.000 0.000 0.000
Mg 2.173 2.173 4.216
Zr 0.000 2.173 2.108
Zr 0.000 2.173 6.324
Zr 2.173 0.000 2.108
Zr 2.173 0.000 6.324
Al 0.000 0.000 4.216
Al 2.173 2.173 0.000

Record 4
4
Lattice="3.059 0.000 0.000 0.000 4.169 0.000 0.000 0.000 6.269" Properties=species:S:1:pos:R:3 comment="MgZr2Al (SCAN, PBEsol geometry)" formation_enthalpy_0k_ev_per_atom=-0.21 magnetic_moment_mub_per_fu=0.04 spacegroup="Pmmm, No. 47" n_ef_per_ev_fu=2.9 pbc="T T T"
Mg 0.000 0.000 0.000
Zr 1.530 2.085 1.635
Zr 1.530 2.085 4.633
Al 0.000 0.000 3.134

Record 5
8
Lattice="3.216 0.000 0.000 0.000 5.028 0.000 0.000 0.000 9.967" Properties=species:S:1:pos:R:3 comment="MgZr2Al (SCAN, PBEsol geometry)" formation_enthalpy_0k_ev_per_atom=-0.16 magnetic_moment_mub_per_fu=0.00 spacegroup="Imm2, No. 44" n_ef_per_ev_fu=2.9 pbc="T T T"
Mg 0.000 0.000 0.000
Mg 1.608 2.514 4.984
Zr 0.000 0.000 5.240
Zr 0.000 2.514 7.636
Zr 1.608 0.000 2.652
Zr 1.608 2.514 0.256
Al 0.000 2.514 2.724
Al 1.608 0.000 7.708

Record 6
29
Lattice="7.479 4.318 2.915 -7.479 4.318 2.915 0.000 -8.636 2.915" Properties=species:S:1:pos:R:3 comment="Mg16ZrAl12 (SCAN, PBEsol geometry)" formation_enthalpy_0k_ev_per_atom=-0.05 magnetic_moment_mub_per_fu=0.00 de_polymorph_mev_per_atom=0 spacegroup="R3m, No. 160" n_ef_per_ev_fu=9.9 pbc="T T T"
Mg 0.000 0.000 0.000
Mg -2.333 -3.889 2.702
Mg -4.535 -0.076 2.702
Mg 0.000 -2.933 1.068
Mg -2.540 1.466 1.068
Mg -3.032 -1.750 4.838
Mg 2.333 -3.889 2.702
Mg -2.202 3.965 2.702
Mg 2.540 1.467 1.068
Mg 0.000 -2.818 4.450
Mg -2.440 1.409 4.450
Mg 4.535 -0.076 2.702
Mg 2.202 3.965 2.702
Mg 3.032 -1.750 4.838
Mg 0.000 3.501 4.838
Mg 2.440 1.409 4.450
Zr 0.000 0.000 5.532
Al 0.000 -5.489 3.560
Al -4.753 2.744 3.560
Al -1.359 -0.784 2.797
Al 1.359 -0.784 2.797
Al 0.000 1.569 2.797
Al -1.326 -2.329 7.138
Al -2.680 0.016 7.138
Al 1.326 -2.329 7.138
Al -1.354 2.313 7.138
Al 4.753 2.744 3.560
Al 2.680 0.016 7.138
Al 1.354 2.313 7.138

Record 7
4
Lattice="4.206 0.000 0.000 0.000 4.206 0.000 0.000 0.000 4.081" Properties=species:S:1:pos:R:3 comment="MgZrAl2 (SCAN, PBEsol geometry)" formation_enthalpy_0k_ev_per_atom=-0.39 magnetic_moment_mub_per_fu=0.00 spacegroup="P4/mmm, No. 123" n_ef_per_ev_fu=1.1 pbc="T T T"
Mg 0.000 0.000 0.000
Zr 2.103 2.103 0.000
Al 0.000 2.103 2.041
Al 2.103 0.000 2.041

Record 8
29
Lattice="5.231 -7.436 0.000 5.231 7.436 0.000 -5.043 0.000 7.334" Properties=species:S:1:pos:R:3 comment="Mg16ZrAl12 (SCAN, PBEsol geometry)" formation_enthalpy_0k_ev_per_atom=-0.04 magnetic_moment_mub_per_fu=0.00 de_polymorph_mev_per_atom=10 spacegroup="Cm, No. 8" n_ef_per_ev_fu=12.1 pbc="T T T"
Mg 0.000 0.000 0.000
Mg -1.379 2.378 4.454
Mg 1.540 4.438 2.320
Mg -1.743 0.000 2.615
Mg 1.633 2.938 5.034
Mg 4.783 2.148 0.044
Mg -1.379 -2.378 4.454
Mg 1.966 4.905 7.285
Mg 0.556 0.000 5.313
Mg 3.837 2.341 2.925
Mg 1.540 -4.438 2.320
Mg 4.783 -2.148 0.044
Mg 3.567 0.000 4.761
Mg 1.633 -2.938 5.034
Mg 3.837 -2.341 2.925
Mg 1.966 -4.905 7.285
Zr 5.748 0.000 2.051
Al -0.813 4.719 6.024
Al 0.998 1.367 2.697
Al -2.236 0.000 6.013
Al 4.317 4.745 1.397
Al 0.998 -1.367 2.697
Al 2.981 0.000 1.360
Al -0.813 -4.719 6.024
Al 7.545 1.328 0.058
Al 6.271 1.362 4.590
Al 7.545 -1.328 0.058
Al 4.317 -4.745 1.397
Al 6.271 -1.362 4.590

Record 9
12
Lattice="2.772 0.000 0.000 0.000 11.952 0.000 0.000 0.000 3.975" Properties=species:S:1:pos:R:3 comment="Mn5Al (SCAN, PBEsol geometry)" formation_enthalpy_0k_ev_per_atom=-0.11 magnetic_moment_mub_per_fu=2.89 de_polymorph_mev_per_atom=0 spacegroup="Cmmm, No. 65" n_ef_per_ev_fu=5.4 pbc="T T T"
Mn 0.000 0.000 0.000
Mn 0.000 2.080 1.988
Mn 0.000 4.038 0.000
Mn 0.000 7.914 0.000
Mn 0.000 9.872 1.988
Mn 1.386 1.938 0.000
Mn 1.386 3.896 1.988
Mn 1.386 5.976 0.000
Mn 1.386 8.056 1.988
Mn 1.386 10.014 0.000
Al 0.000 5.976 1.988
Al 1.386 0.000 1.988

Record 10
12
Lattice="4.943 0.000 0.000 0.000 4.018 0.000 0.000 0.000 7.853" Properties=species:S:1:pos:R:3 comment="MnAl2 (SCAN, PBEsol geometry)" formation_enthalpy_0k_ev_per_atom=-0.28 magnetic_moment_mub_per_fu=2.15 spacegroup="Pnma, No. 62" n_ef_per_ev_fu=1.3 pbc="T T T"
Mn 0.762 1.004 1.025
Mn 1.709 3.013 4.952
Mn 3.233 1.004 2.901
Mn 4.181 3.013 6.828
Al 0.550 1.004 6.308
Al 0.759 1.004 3.567
Al 1.712 3.013 7.494
Al 1.921 3.013 2.382
Al 3.021 1.004 5.471
Al 3.230 1.004 0.359
Al 4.184 3.013 4.286
Al 4.393 3.013 1.545

Record 11
13
Lattice="-3.711 3.711 3.711 3.711 -3.711 3.711 3.711 3.711 -3.711" Properties=species:S:1:pos:R:3 comment="MnAl12 (SCAN, PBEsol geometry)" formation_enthalpy_0k_ev_per_atom=-0.09 magnetic_moment_mub_per_fu=0.64 spacegroup="Im-3, No. 204" n_ef_per_ev_fu=4.2 pbc="T T T"
Mn 0.000 0.000 0.000
Al 3.711 -1.450 2.335
Al 2.261 1.375 0.000
Al 5.161 1.375 0.000
Al 2.335 3.711 -1.450
Al 1.375 0.000 2.261
Al 0.000 2.261 1.375
Al 3.711 1.450 2.335
Al 2.335 3.711 1.450
Al 1.375 0.000 5.161
Al -1.450 2.335 3.711
Al 1.450 2.335 3.711
Al 0.000 5.161 1.375

Record 12
12
Lattice="8.929 0.000 0.000 0.000 2.793 0.000 -1.693 0.000 5.255" Properties=species:S:1:pos:R:3 comment="Mn5Al (SCAN, PBEsol geometry)" formation_enthalpy_0k_ev_per_atom=-0.10 magnetic_moment_mub_per_fu=3.03 de_polymorph_mev_per_atom=15 spacegroup="C2/m, No. 12" n_ef_per_ev_fu=4.4 pbc="T T T"
Mn 0.000 0.000 0.000
Mn 0.991 1.396 1.756
Mn 0.136 1.396 4.422
Mn 2.635 0.000 0.834
Mn 1.781 0.000 3.500
Mn 4.465 1.396 0.000
Mn 5.455 0.000 1.756
Mn 4.601 0.000 4.422
Mn 7.100 1.396 0.834
Mn 6.245 1.396 3.500
Al -0.847 0.000 2.628
Al 3.618 1.396 2.628

Record 13
28
Lattice="7.569 0.000 0.000 -3.785 6.555 0.000 0.000 0.000 7.997" Properties=species:S:1:pos:R:3 comment="Mn2Al5 (SCAN, PBEsol geometry)" formation_enthalpy_0k_ev_per_atom=-0.32 magnetic_moment_mub_per_fu=3.86 spacegroup="P6_3/mmc, No. 194" n_ef_per_ev_fu=2.0 pbc="T T T"
Mn 0.000 1.557 1.999
Mn -2.436 5.776 1.999
Mn 1.348 0.778 5.998
Mn 0.000 4.370 5.998
Mn 3.785 2.185 1.999
Mn 2.436 5.776 1.999
Mn 6.221 0.778 5.998
Mn 3.785 4.998 5.998
Al 0.000 0.000 0.000
Al 0.000 0.000 3.999
Al -1.489 3.510 1.999
Al 0.000 2.589 4.389
Al 0.000 2.589 7.608
Al -1.543 5.261 4.389
Al -1.543 5.261 7.608
Al 2.242 1.294 0.390
Al 2.242 1.294 3.609
Al 1.489 3.510 1.999
Al 0.000 6.089 1.999
Al 3.785 0.466 5.998
Al 2.296 3.045 5.998
Al 1.543 5.261 4.389
Al 1.543 5.261 7.608
Al 5.327 1.294 0.390
Al 5.327 1.294 3.609
Al 3.785 3.966 0.390
Al 3.785 3.966 3.609
Al 5.273 3.045 5.998

Record 14
12
Lattice="2.798 0.000 0.000 0.000 12.038 0.000 0.000 0.000 4.037" Properties=species:S:1:pos:R:3 comment="Mn2Al (SCAN, PBEsol geometry)" formation_enthalpy_0k_ev_per_atom=-0.22 magnetic_moment_mub_per_fu=0.22 spacegroup="Cmcm, No. 63" n_ef_per_ev_fu=2.4 pbc="T T T"
Mn 0.000 1.128 1.009
Mn 0.000 3.089 3.028
Mn 0.000 8.949 1.009
Mn 0.000 10.910 3.028
Mn 1.399 2.930 1.009
Mn 1.399 4.891 3.028
Mn 1.399 7.147 1.009
Mn 1.399 9.108 3.028
Al 0.000 5.033 1.009
Al 0.000 7.005 3.028
Al 1.399 0.986 3.028
Al 1.399 11.052 1.009

Record 15
12
Lattice="9.357 0.000 0.000 0.000 2.827 0.000 -2.140 0.000 6.154" Properties=species:S:1:pos:R:3 comment="MnAl2 (SCAN, PBEsol geometry)" formation_enthalpy_0k_ev_per_atom=-0.24 magnetic_moment_mub_per_fu=2.21 spacegroup="C2/m, No. 12" n_ef_per_ev_fu=1.3 pbc="T T T"
Mn 1.376 0.000 0.904
Mn 1.163 1.413 5.250
Mn 6.054 1.413 0.904
Mn 5.841 0.000 5.250
Al -1.400 1.413 5.058
Al 0.231 0.000 3.387
Al 2.307 1.413 2.767
Al 3.939 0.000 1.096
Al 3.278 0.000 5.058
Al 4.910 1.413 3.387
Al 6.986 0.000 2.767
Al 8.617 1.413 1.096

Record 16
12
Lattice="5.933 0.000 0.000 0.000 5.933 0.000 0.000 0.000 5.066" Properties=species:S:1:pos:R:3 comment="MnAl2 (SCAN, PBEsol geometry)" formation_enthalpy_0k_ev_per_atom=-0.22 magnetic_moment_mub_per_fu=1.72 spacegroup="I4/mcm, No. 140" n_ef_per_ev_fu=1.5 pbc="T T T"
Mn 0.000 0.000 1.266
Mn 0.000 0.000 3.799
Mn 2.966 2.966 1.266
Mn 2.966 2.966 3.799
Al 1.240 1.726 0.000
Al 1.240 4.207 2.533
Al 1.726 1.240 2.533
Al 1.726 4.693 0.000
Al 4.207 1.240 0.000
Al 4.207 4.693 2.533
Al 4.693 1.726 2.533
Al 4.693 4.207 0.000

Record 17
3
Lattice="4.201 0.000 0.000 0.000 4.201 0.000 0.000 0.000 2.646" Properties=species:S:1:pos:R:3 comment="MnAl2 (SCAN, PBEsol geometry)" formation_enthalpy_0k_ev_per_atom=-0.26 magnetic_moment_mub_per_fu=1.71 spacegroup="P4/mmm, No. 123" n_ef_per_ev_fu=1.3 pbc="T T T"
Mn 0.000 0.000 0.000
Al 0.000 2.101 1.323
Al 2.101 0.000 1.323

Record 18
4
Lattice="2.626 0.000 0.000 0.000 3.372 0.000 0.000 0.000 5.290" Properties=species:S:1:pos:R:3 comment="Mn3Al (SCAN, PBEsol geometry)" formation_enthalpy_0k_ev_per_atom=-0.30 magnetic_moment_mub_per_fu=1.57 spacegroup="Pmmm, No. 47" n_ef_per_ev_fu=2.4 pbc="T T T"
Mn 0.000 0.000 0.000
Mn 1.313 1.686 1.266
Mn 1.313 1.686 4.023
Al 0.000 0.000 2.645

Record 19
12
Lattice="2.537 0.000 0.000 -1.268 2.197 0.000 0.000 0.000 24.114" Properties=species:S:1:pos:R:3 comment="Mn3Al (SCAN, PBEsol geometry)" formation_enthalpy_0k_ev_per_atom=0.03 magnetic_moment_mub_per_fu=0.89 spacegroup="R-3m, No. 166" n_ef_per_ev_fu=4.8 pbc="T T T"
Mn 0.000 0.000 0.000
Mn 0.000 0.000 6.133
Mn 0.000 0.000 17.981
Mn 0.000 1.465 9.943
Mn 0.000 1.465 16.076
Mn 0.000 1.465 22.209
Mn 1.268 0.732 1.905
Mn 1.268 0.732 8.038
Mn 1.268 0.732 14.171
Al 0.000 0.000 12.057
Al 0.000 1.465 4.019
Al 1.268 0.732 20.095

Record 20
3
Lattice="4.120 0.000 0.000 -2.060 3.568 0.000 0.000 0.000 2.638" Properties=species:S:1:pos:R:3 comment="MnAl2 (SCAN, PBEsol geometry)" formation_enthalpy_0k_ev_per_atom=-0.15 magnetic_moment_mub_per_fu=1.89 spacegroup="P-3m1, No. 164" n_ef_per_ev_fu=2.3 pbc="T T T"
Mn 0.000 0.000 0.000
Al 0.000 2.379 1.799
Al 2.060 1.189 0.839